This record from Alexandria describes Mg6VSn after structural relaxation. The functional is PBE.

CIF file:
```
data_Mg6VSn
_cell_length_a 6.3296
_cell_length_b 6.3296
_cell_length_c 5.0671
_cell_angle_alpha 90.00
_cell_angle_beta 90.00
_cell_angle_gamma 122.47
_space_group_name_H-M_alt 'P 1'
_space_group_IT_number 1
_space_group_name_Hall 'P 1'
loop_
_atom_site_label
_atom_site_fract_x
_atom_site_fract_y
_atom_site_fract_z
Sn1 0.3312 0.6688 0.5000
Mg1 0.6777 0.8416 0.0000
Mg2 0.8301 0.6675 0.5000
Mg3 0.1584 0.3223 0.0000
Mg4 0.6740 0.3260 0.0000
V1 0.8306 0.1694 0.5000
Mg5 0.3325 0.1699 0.5000
Mg6 0.1653 0.8347 0.0000
```

Calculated values
N(E_F) = 4.8 states/eV/cell
energy of formation from the pure elements = 1.83 kcal/mol of atoms
SG = Amm2
mass density = 3059 kg/m³


This record from Alexandria describes Mg3VSn after structural relaxation. The functional is PBE.

CIF file:
```
data_Mg3VSn
_cell_length_a 5.1976
_cell_length_b 5.1976
_cell_length_c 5.1976
_cell_angle_alpha 90.00
_cell_angle_beta 90.00
_cell_angle_gamma 90.00
_space_group_name_H-M_alt 'P 1'
_space_group_IT_number 1
_space_group_name_Hall 'P 1'
loop_
_atom_site_label
_atom_site_fract_x
_atom_site_fract_y
_atom_site_fract_z
Sn1 0.5000 0.5000 0.5000
V1 0.0000 0.0000 0.0000
Mg1 0.0000 0.0000 0.5000
Mg2 0.0000 0.5000 0.0000
Mg3 0.5000 0.0000 0.0000
```

Calculated values
N(E_F) = 3.5 states/eV/cell
energy of formation from the pure elements = 18.34 kcal/mol of atoms
SG = Pm-3m
mass density = 2869 kg/m³


This record from Alexandria describes MgV2Sn2 after structural relaxation. The functional is PBE.

CIF file:
```
data_MgV2Sn2
_cell_length_a 7.5852
_cell_length_b 7.5852
_cell_length_c 3.3545
_cell_angle_alpha 90.00
_cell_angle_beta 90.00
_cell_angle_gamma 90.00
_space_group_name_H-M_alt 'P 1'
_space_group_IT_number 1
_space_group_name_Hall 'P 1'
loop_
_atom_site_label
_atom_site_fract_x
_atom_site_fract_y
_atom_site_fract_z
Mg1 0.5000 0.5000 0.0000
V1 0.6082 0.1082 0.0000
Mg2 0.0000 0.0000 0.0000
Sn1 0.3183 0.1817 0.5000
Sn2 0.8183 0.3183 0.5000
V2 0.1082 0.3918 0.0000
V3 0.8918 0.6082 0.0000
Sn3 0.1817 0.6817 0.5000
V4 0.3918 0.8918 0.0000
Sn4 0.6817 0.8183 0.5000
```

Calculated values
N(E_F) = 7.6 states/eV/cell
energy of formation from the pure elements = 2.94 kcal/mol of atoms
SG = P4/mbm
mass density = 6257 kg/m³